(1)
NbZn3: optimized geometry, PBEsol.

It has space group Pm-3m (No. 221), with a = 3.882 Å, b = 3.882 Å, c = 3.882 Å, α = 90.00°, β = 90.00° and γ = 90.00°. The inequivalent atoms are Nb at (0.000, 0.000, 0.000) and Zn at (0.000, 0.500, 0.500).

For the calculated volume, the calculation gives 58.5 Å³ per cell. The total energy is -4.0749 eV per atom.

(2)
Zn2BrN: optimized geometry, PBEsol.

It has space group I-42d (No. 122), with a = 5.359 Å, b = 5.359 Å, c = 9.646 Å, α = 90.00°, β = 90.00° and γ = 90.00°. The inequivalent atoms are Zn at (0.113, 0.250, 0.125), Br at (0.000, 0.000, 0.500) and N at (0.000, 0.000, 0.000).

For the calculated volume, the calculation gives 277.0 Å³ per cell. The total energy is -3.7794 eV per atom. The formation energy (no corrections) comes out at -1.6 eV/f.u.

(3)
AgPb3: optimized geometry, PBEsol.

It has space group I4/mmm (No. 139), with a = 4.695 Å, b = 4.695 Å, c = 9.519 Å, α = 90.00°, β = 90.00° and γ = 90.00°. The inequivalent atoms are Ag at (0.000, 0.000, 0.000), Pb at (0.000, 0.000, 0.500) and Pb at (0.000, 0.500, 0.250).

For the calculated volume, the calculation gives 209.8 Å³ per cell. The total energy is -3.7166 eV per atom.

(4)
AgSnSbTe2: optimized geometry, PBEsol.

It has space group P4/mmm (No. 123), with a = 5.386 Å, b = 5.386 Å, c = 5.192 Å, α = 90.00°, β = 90.00° and γ = 90.00°. The inequivalent atoms are Ag at (0.000, 0.000, 0.000), Sn at (0.500, 0.500, 0.500), Sb at (0.000, 0.000, 0.500) and Te at (0.000, 0.500, 0.000).

For the calculated volume, the calculation gives 150.6 Å³ per cell. The total energy is -3.3877 eV per atom. The formation energy (no corrections) comes out at 2.2 eV/f.u.